[1]
Below is an optimized crystal structure of LaTbDy2Te6, with properties calculated at the PBE level. Values from VASP.

The structure in Quantum ESPRESSO input format:
```
&SYSTEM
  ibrav = 0, nat = 10, ntyp = 4
/
ATOMIC_SPECIES
La 138.91 La.upf
Tb 158.93 Tb.upf
Dy 162.50 Dy.upf
Te 127.60 Te.upf
ATOMIC_POSITIONS angstrom
La 0.0000 0.0000 0.0000
Tb 0.0000 0.0000 10.4815
Dy 0.0000 0.0000 6.4716
Dy 0.0000 0.0000 17.1128
Te -2.3759 -0.1626 8.4588
Te -1.4528 -2.2990 11.9658
Te 1.3288 -1.9763 8.4587
Te -1.2646 2.4077 11.9658
Te 1.0471 2.1389 8.4587
Te 2.7174 -0.1087 11.9658
CELL_PARAMETERS angstrom
3.9149 2.2603 7.0541
-3.9149 2.2603 7.0541
0.0000 -4.5205 7.0541
```

Computed properties:
Formation energy from raw total energies (meV per atom): -1399
SG: R3, No. 146



[2]
Below is an optimized crystal structure of NaPmY4Se8, with properties calculated at the PBE level. Values from VASP.

The structure in Quantum ESPRESSO input format:
```
&SYSTEM
  ibrav = 0, nat = 14, ntyp = 4
/
ATOMIC_SPECIES
Na 22.99 Na.upf
Pm 145.00 Pm.upf
Y 88.91 Y.upf
Se 78.96 Se.upf
ATOMIC_POSITIONS angstrom
Na 0.0000 0.0000 0.0000
Pm 0.0000 0.0000 13.2564
Y -2.2014 -1.2710 9.6249
Y 0.0000 0.0000 5.2974
Y 2.2014 -1.2710 9.6249
Y 0.0000 2.5419 9.6249
Se 0.0000 -2.3163 11.3140
Se -2.0060 1.1582 11.3140
Se 0.0000 0.0000 8.0817
Se -1.9732 -1.1392 15.0197
Se 2.0060 1.1582 11.3140
Se 0.0000 0.0000 18.1894
Se 1.9732 -1.1392 15.0197
Se 0.0000 2.2785 15.0197
CELL_PARAMETERS angstrom
4.2382 2.4469 7.0001
-4.2382 2.4469 7.0001
0.0000 -4.8938 7.0001
```

Computed properties:
Formation energy from raw total energies (meV per atom): -1776
SG: R3m, No. 160



[3]
Below is an optimized crystal structure of CaPr2Sc, with properties calculated at the PBE level. Values from VASP.

The structure in Quantum ESPRESSO input format:
```
&SYSTEM
  ibrav = 0, nat = 4, ntyp = 3
/
ATOMIC_SPECIES
Ca 40.08 Ca.upf
Pr 140.91 Pr.upf
Sc 44.96 Sc.upf
ATOMIC_POSITIONS angstrom
Ca 0.0000 0.0000 0.0000
Pr 0.0000 0.0000 8.6908
Pr 0.0000 0.0000 27.1668
Sc 0.0000 0.0000 17.9288
CELL_PARAMETERS angstrom
1.8083 1.0440 11.9525
-1.8083 1.0440 11.9525
0.0000 -2.0881 11.9525
```

Computed properties:
SG: R-3m, No. 166
Relative energy among the computed polymorphs (meV/atom): 8.5
Formation energy from the elements (eV/atom): 0.07



[4]
Below is an optimized crystal structure of KLi2Tc, with properties calculated at the PBE level. Values from VASP.

The structure in Quantum ESPRESSO input format:
```
&SYSTEM
  ibrav = 0, nat = 4, ntyp = 3
/
ATOMIC_SPECIES
K 39.10 K.upf
Li 6.94 Li.upf
Tc 98.00 Tc.upf
ATOMIC_POSITIONS angstrom
K 0.0000 0.0000 0.0000
Li -0.2852 2.2231 4.8070
Li 2.3123 2.2231 2.4394
Tc 1.0136 0.0000 3.6232
CELL_PARAMETERS angstrom
2.6552 0.0000 0.0000
0.0000 4.4462 0.0000
-0.6280 0.0000 7.2464
```

Computed properties:
SG: P2/m, No. 10
Relative energy among the computed polymorphs (meV/atom): 3.9
Formation energy from the elements (eV/atom): 0.66



[5]
Below is an optimized crystal structure of PrDy3Ho4, with properties calculated at the PBE level. Values from VASP.

The structure in Quantum ESPRESSO input format:
```
&SYSTEM
  ibrav = 0, nat = 16, ntyp = 3
/
ATOMIC_SPECIES
Pr 140.91 Pr.upf
Dy 162.50 Dy.upf
Ho 164.93 Ho.upf
ATOMIC_POSITIONS angstrom
Pr 0.0000 0.9155 0.0000
Pr 5.6460 6.3554 3.1392
Dy 0.0000 6.3486 3.1393
Dy 2.8220 0.9223 2.0977
Dy 2.8240 6.3486 5.2369
Dy 5.6460 0.9223 0.0002
Dy 8.4700 0.9223 2.0977
Dy 8.4679 6.3486 5.2369
Ho 0.0000 2.7415 3.1482
Ho 0.0000 4.5332 0.0042
Ho 2.8023 4.5324 2.0971
Ho 2.8437 2.7385 5.2363
Ho 5.6460 2.7377 3.1434
Ho 5.6460 4.5294 0.0090
Ho 8.4483 2.7385 5.2363
Ho 8.4896 4.5324 2.0971
CELL_PARAMETERS angstrom
11.2919 0.0000 0.0000
0.0000 7.2709 0.0000
0.0000 0.0000 6.2784
```

Computed properties:
SG: Pmn2_1, No. 31
Relative energy among the computed polymorphs (meV/atom): 0.0
Formation energy from the elements (eV/atom): 0.01



[6]
Below is an optimized crystal structure of RbCaNbTeSe, with properties calculated at the PBE level. Values from VASP.

The structure in Quantum ESPRESSO input format:
```
&SYSTEM
  ibrav = 0, nat = 5, ntyp = 5
/
ATOMIC_SPECIES
Rb 85.47 Rb.upf
Ca 40.08 Ca.upf
Nb 92.91 Nb.upf
Te 127.60 Te.upf
Se 78.96 Se.upf
ATOMIC_POSITIONS angstrom
Rb 0.0000 0.0000 0.0000
Ca 5.0388 0.0000 3.8398
Nb 9.5891 0.0000 1.7468
Te 1.6000 0.0000 3.1933
Se -1.2896 0.0000 6.2081
CELL_PARAMETERS angstrom
6.4921 -1.8473 0.0000
6.4921 1.8473 0.0000
-4.7150 0.0000 6.3319
```

Computed properties:
Formation energy from raw total energies (meV per atom): -587
SG: Cm, No. 8
Relative energy among the computed polymorphs (meV/atom): 127.4



[7]
Below is an optimized crystal structure of Si2SeBr, with properties calculated at the PBE level. Values from VASP.

The structure in Quantum ESPRESSO input format:
```
&SYSTEM
  ibrav = 0, nat = 4, ntyp = 3
/
ATOMIC_SPECIES
Si 28.09 Si.upf
Se 78.96 Se.upf
Br 79.90 Br.upf
ATOMIC_POSITIONS angstrom
Si 0.6692 0.0000 2.0793
Si 3.9647 0.0000 3.7691
Se 2.3170 1.7577 2.9242
Br 0.0000 1.7577 0.0000
CELL_PARAMETERS angstrom
5.1023 0.0000 0.0000
0.0000 3.5154 0.0000
-0.4684 0.0000 5.8484
```

Computed properties:
Formation energy from raw total energies (meV per atom): 196
SG: P2/m, No. 10
Relative energy among the computed polymorphs (meV/atom): 269.0



[8]
Below is an optimized crystal structure of LaHo6Tm, with properties calculated at the PBE level. Values from VASP.

The structure in Quantum ESPRESSO input format:
```
&SYSTEM
  ibrav = 0, nat = 8, ntyp = 3
/
ATOMIC_SPECIES
La 138.91 La.upf
Ho 164.93 Ho.upf
Tm 168.93 Tm.upf
ATOMIC_POSITIONS angstrom
La 0.0000 0.0000 0.0000
Ho -1.0773 0.0193 3.1940
Ho 1.2104 3.2837 3.1390
Ho 0.1777 -1.5800 5.9580
Ho 3.2371 4.8796 0.0067
Ho 2.2044 0.0158 2.8257
Ho 4.4922 3.2803 2.7707
Tm -0.0159 3.2711 0.0000
CELL_PARAMETERS angstrom
6.5336 0.0000 0.0000
-0.0317 6.5422 0.0000
-3.0870 -3.2427 5.9647
```

Computed properties:
SG: P-1, No. 2
Relative energy among the computed polymorphs (meV/atom): 171.2
Formation energy from the elements (eV/atom): 0.20



[9]
Below is an optimized crystal structure of InCuAg3, with properties calculated at the PBE level. Values from VASP.

The structure in Quantum ESPRESSO input format:
```
&SYSTEM
  ibrav = 0, nat = 5, ntyp = 3
/
ATOMIC_SPECIES
In 114.82 In.upf
Cu 63.55 Cu.upf
Ag 107.87 Ag.upf
ATOMIC_POSITIONS angstrom
In 0.0000 0.0000 0.0000
Cu 2.4331 2.4331 2.4331
Ag 0.0000 2.4331 2.4331
Ag 2.4331 0.0000 2.4331
Ag 2.4331 2.4331 0.0000
CELL_PARAMETERS angstrom
4.8662 0.0000 0.0000
0.0000 4.8662 0.0000
0.0000 0.0000 4.8662
```

Computed properties:
SG: Pm-3m, No. 221
Relative energy among the computed polymorphs (meV/atom): 421.0
Formation energy from the elements (eV/atom): 0.46



[10]
Below is an optimized crystal structure of Nd5ScTl5, with properties calculated at the PBE level. Values from VASP.

The structure in Quantum ESPRESSO input format:
```
&SYSTEM
  ibrav = 0, nat = 11, ntyp = 3
/
ATOMIC_SPECIES
Nd 144.24 Nd.upf
Sc 44.96 Sc.upf
Tl 204.38 Tl.upf
ATOMIC_POSITIONS angstrom
Nd 0.0000 0.0000 0.0000
Nd 2.8639 0.0000 2.3422
Nd 0.0000 0.0000 5.0846
Nd 0.0000 0.0000 11.4105
Nd 0.0000 3.6139 5.9053
Sc 0.0000 3.6139 0.0000
Tl 2.8639 -1.6060 5.6595
Tl 0.0000 2.0078 2.5881
Tl 0.0000 0.0000 8.2476
Tl 2.8639 1.6060 5.6595
Tl 0.0000 5.2199 2.5881
CELL_PARAMETERS angstrom
-2.8639 3.6139 8.2476
2.8639 -3.6139 8.2476
2.8639 3.6139 -8.2476
```

Computed properties:
SG: Immm, No. 71
Formation energy from the elements (eV/atom): -0.17